# TiSn4O10

TiSn4O10 after structural relaxation (PBEsol, the Alexandria database).

Summary:
D(E_F): 0.0 states/eV/f.u.
Spin magnetization: 0.00 μB/f.u.
V: 355 Å³ per cell
Raw formation energy: -29.1 eV/f.u.
Energy: -7.1324 eV/atom

Cell: 4.743 5.693 13.409 Å, 78.97 89.96 89.95°
Fractional coordinates of all 30 atoms:
Sn  0.000  0.296  0.602
Sn  0.500  0.602  0.199
Sn  0.000  0.704  0.398
Sn  0.500  0.000  0.000
Sn  0.000  0.500  0.000
Sn  0.500  0.398  0.801
Sn  0.502  0.200  0.397
Sn  0.498  0.800  0.603
O  0.688  0.678  0.059
O  0.307  0.117  0.539
O  0.313  0.524  0.340
O  0.810  0.799  0.256
O  0.190  0.201  0.744
O  0.190  0.619  0.540
O  0.810  0.381  0.460
O  0.809  0.974  0.668
O  0.811  0.176  0.066
O  0.693  0.883  0.461
O  0.707  0.284  0.259
O  0.707  0.082  0.862
O  0.687  0.476  0.660
O  0.312  0.322  0.941
O  0.293  0.716  0.741
O  0.191  0.026  0.332
O  0.810  0.595  0.858
O  0.293  0.918  0.138
O  0.190  0.405  0.142
O  0.189  0.824  0.934
Ti  0.000  0.102  0.199
Ti  0.000  0.898  0.801

# Ta2CrCl

Ta2CrCl after structural relaxation (PBEsol, the Alexandria database).

Summary:
D(E_F): 4.1 states/eV/f.u.
Spin magnetization: 3.08 μB/f.u.
Energy relative to the lowest polymorph listed for this composition: 0 meV per atom
V: 69 Å³ per cell
Raw formation energy: 0.8 eV/f.u.
Energy: -9.1365 eV/atom

Cell: 2.991 2.991 9.046 Å, 80.48 80.48 60.00°
Site moments in Bohr magnetons follow the coordinates.
Fractional coordinates of all 4 atoms:
Ta  0.003  0.003  0.992  -0.12
Ta  0.244  0.244  0.269  0.05
Cr  0.745  0.745  0.764  2.84
Cl  0.508  0.508  0.475  0.01

# SrTc2P

SrTc2P after structural relaxation (PBEsol, the Alexandria database).

Summary:
D(E_F): 4.0 states/eV/f.u.
Spin magnetization: 0.00 μB/f.u.
Formation energy: 0.6056 eV/atom
Energy relative to the lowest polymorph listed for this composition: 373 meV per atom
V: 66 Å³ per cell
Energy: -6.9355 eV/atom

Cell: 4.409 4.627 4.409 Å, 118.45 90.00 118.45°
Fractional coordinates of all 4 atoms:
Tc  0.000  0.000  0.000
Tc  0.750  0.500  0.250
Sr  0.250  0.500  0.750
P  0.500  0.000  0.500

# Y2Si3Ni5

Y2Si3Ni5 after structural relaxation (PBEsol, the Alexandria database).

Summary:
D(E_F): 7.0 states/eV/f.u.
Spin magnetization: 0.00 μB/f.u.
V: 287 Å³ per cell
Raw formation energy: -7.6 eV/f.u.
Energy: -6.9313 eV/atom

Cell: 5.489 7.788 7.788 Å, 73.84 69.36 69.36°
Fractional coordinates of all 20 atoms:
Y  0.128  0.627  0.118
Y  0.628  0.118  0.627
Y  0.372  0.882  0.373
Y  0.872  0.373  0.882
Ni  0.015  0.735  0.735
Ni  0.123  0.001  0.752
Ni  0.515  0.735  0.735
Ni  0.485  0.265  0.265
Ni  0.623  0.752  0.001
Ni  0.250  0.500  0.500
Ni  0.877  0.999  0.248
Ni  0.985  0.265  0.265
Ni  0.377  0.248  0.999
Ni  0.750  0.500  0.500
Si  0.619  0.516  0.246
Si  0.119  0.246  0.516
Si  0.250  0.000  0.000
Si  0.881  0.754  0.484
Si  0.750  0.000  0.000
Si  0.381  0.484  0.754

# BeTc2As

BeTc2As after structural relaxation (PBEsol, the Alexandria database).

Summary:
D(E_F): 3.8 states/eV/f.u.
Spin magnetization: 0.00 μB/f.u.
Formation energy: 0.2456 eV/atom
V: 53 Å³ per cell
Energy: -7.6642 eV/atom

Cell: 2.990 3.894 4.520 Å, 90.00 90.00 90.00°
Fractional coordinates of all 4 atoms:
Tc  0.000  0.000  0.000
Tc  0.500  0.000  0.500
As  0.500  0.500  0.000
Be  0.000  0.500  0.500

# PRuRh2

PRuRh2 after structural relaxation (PBEsol, the Alexandria database).

Summary:
D(E_F): 4.2 states/eV/f.u.
Spin magnetization: 0.00 μB/f.u.
Formation energy: -0.1915 eV/atom
V: 52 Å³ per cell
Energy: -8.2516 eV/atom

Cell: 2.758 2.758 8.089 Å, 80.18 80.18 60.00°
Fractional coordinates of all 4 atoms:
Rh  0.751  0.751  0.747
Rh  0.990  0.990  0.030
P  0.249  0.249  0.252
Ru  0.510  0.510  0.471

# YZnN2

YZnN2 after structural relaxation (PBEsol, the Alexandria database).

Summary:
D(E_F): 3.4 states/eV/f.u.
Spin magnetization: 0.00 μB/f.u.
V: 58 Å³ per cell
Raw formation energy: 2.6 eV/f.u.
Energy: -5.7087 eV/atom

Cell: 3.336 3.336 6.362 Å, 74.80 74.80 60.00°
Fractional coordinates of all 4 atoms:
N  0.883  0.883  0.351
N  0.117  0.117  0.649
Zn  0.500  0.500  0.500
Y  0.000  0.000  0.000

# Cs2KTl2

Cs2KTl2 after structural relaxation (PBEsol, the Alexandria database).

Summary:
D(E_F): 3.4 states/eV/f.u.
Spin magnetization: 0.00 μB/f.u.
Formation energy: 0.0205 eV/atom
Energy relative to the lowest polymorph listed for this composition: 8 meV per atom
V: 285 Å³ per cell
Energy: -1.6352 eV/atom

Cell: 4.483 4.483 14.551 Å, 98.86 98.86 90.00°
Fractional coordinates of all 5 atoms:
Cs  0.365  0.365  0.730
Cs  0.635  0.635  0.270
Tl  0.250  0.750  0.500
Tl  0.750  0.250  0.500
K  0.000  0.000  0.000

# K2PrAgBr6

K2PrAgBr6 after structural relaxation (PBEsol, the Alexandria database).

Summary:
D(E_F): 0.0 states/eV/f.u.
Spin magnetization: 0.00 μB/f.u.
V: 353 Å³ per cell
Raw formation energy: -14.3 eV/f.u.
Energy: -3.6315 eV/atom

Cell: 7.935 7.935 7.935 Å, 60.00 60.00 60.00°
Fractional coordinates of all 10 atoms:
Br  0.246  0.754  0.754
Br  0.754  0.246  0.246
Br  0.246  0.246  0.754
Br  0.754  0.246  0.754
Br  0.246  0.754  0.246
Br  0.754  0.754  0.246
Ag  0.000  0.000  0.000
K  0.750  0.750  0.750
K  0.250  0.250  0.250
Pr  0.500  0.500  0.500

# Sb2OsRu

Sb2OsRu after structural relaxation (PBEsol, the Alexandria database).

Summary:
D(E_F): 2.7 states/eV/f.u.
Spin magnetization: 0.00 μB/f.u.
Energy relative to the lowest polymorph listed for this composition: 0 meV per atom
V: 78 Å³ per cell
Raw formation energy: 1.0 eV/f.u.
Energy: -7.6147 eV/atom

Cell: 3.024 3.024 8.492 Å, 90.00 90.00 90.00°
Fractional coordinates of all 4 atoms:
Sb  0.000  0.000  0.930
Sb  0.500  0.500  0.319
Ru  0.500  0.500  0.727
Os  0.000  0.000  0.524

# GeBiPb2Br

GeBiPb2Br after structural relaxation (PBEsol, the Alexandria database).

Summary:
D(E_F): 3.4 states/eV/f.u.
Spin magnetization: 0.00 μB/f.u.
V: 164 Å³ per cell
Raw formation energy: 2.7 eV/f.u.
Energy: -3.2829 eV/atom

Cell: 5.145 5.649 5.649 Å, 90.00 90.00 90.00°
Fractional coordinates of all 5 atoms:
Pb  0.000  0.000  0.500
Pb  0.000  0.500  0.000
Bi  0.500  0.500  0.500
Ge  0.500  0.000  0.000
Br  0.000  0.000  0.000

# K2GaAu2

K2GaAu2 after structural relaxation (PBEsol, the Alexandria database).

Summary:
D(E_F): 1.8 states/eV/f.u.
Spin magnetization: 0.00 μB/f.u.
Formation energy: -0.1455 eV/atom
V: 254 Å³ per cell
Energy: -2.8364 eV/atom

Cell: 5.390 6.864 6.864 Å, 90.00 90.00 90.00°
Fractional coordinates of all 10 atoms:
K  0.500  0.671  0.829
K  0.500  0.171  0.671
K  0.500  0.829  0.329
K  0.500  0.329  0.171
Au  0.000  0.145  0.355
Au  0.000  0.355  0.855
Au  0.000  0.855  0.645
Au  0.000  0.645  0.145
Ga  0.000  0.500  0.500
Ga  0.000  0.000  0.000